Entry i
Crystalline HfHIrRh2 at its relaxed geometry, computed with PBE.

Lattice parameters (Å, degrees): 3.995 3.995 4.000 90.00 90.00 90.00
Fractional positions:
1 H 0.000 0.000 0.000
2 Hf 0.500 0.500 0.500
3 Rh 0.000 0.500 0.000
4 Rh 0.500 0.000 0.000
5 Ir 0.000 0.000 0.500

Its crystal system is tetragonal. The space group is P4/mmm.

---

Entry ii
Crystalline HfHIrRh2 at its relaxed geometry, computed with PBE.

Lattice parameters (Å, degrees): 3.921 3.921 4.158 90.00 90.00 90.00
Fractional positions:
1 H 0.000 0.000 0.000
2 Rh 0.000 0.500 0.000
3 Rh 0.500 0.000 0.000
4 Ir 0.500 0.500 0.500
5 Hf 0.000 0.000 0.500

Its crystal system is tetragonal. The space group is P4/mmm.

---

Which of them is least stable? Easy: entry ii.

---

Entry i
Crystalline HfHIr2Ru at its relaxed geometry, computed with PBE.

Lattice parameters (Å, degrees): 3.935 3.935 4.154 90.00 90.00 90.00
Fractional positions:
1 Ir 0.000 0.500 0.000
2 Ir 0.500 0.000 0.000
3 Ru 0.500 0.500 0.500
4 H 0.000 0.000 0.000
5 Hf 0.000 0.000 0.500

Its crystal system is tetragonal. The space group is P4/mmm.

---

Entry ii
Crystalline HfHIr2Ru at its relaxed geometry, computed with PBE.

Lattice parameters (Å, degrees): 3.991 3.991 4.028 90.00 90.00 90.00
Fractional positions:
1 Ru 0.000 0.000 0.500
2 Ir 0.500 0.000 0.000
3 Ir 0.000 0.500 0.000
4 H 0.000 0.000 0.000
5 Hf 0.500 0.500 0.500

Its crystal system is tetragonal. The space group is P4/mmm.

---

Which of them is least stable? Easy: entry i.

---

Entry i
Crystalline HfZnHIr2 at its relaxed geometry, computed with PBE.

Lattice parameters (Å, degrees): 4.139 4.139 3.822 90.00 90.00 90.00
Fractional positions:
1 Ir 0.000 0.500 0.000
2 Ir 0.500 0.000 0.000
3 Zn 0.000 0.000 0.500
4 H 0.000 0.000 0.000
5 Hf 0.500 0.500 0.500

Its crystal system is tetragonal. The space group is P4/mmm.

---

Entry ii
Crystalline HfZnHIr2 at its relaxed geometry, computed with PBE.

Lattice parameters (Å, degrees): 4.073 4.073 3.956 90.00 90.00 90.00
Fractional positions:
1 H 0.000 0.000 0.000
2 Ir 0.500 0.000 0.000
3 Ir 0.000 0.500 0.000
4 Hf 0.000 0.000 0.500
5 Zn 0.500 0.500 0.500

Its crystal system is tetragonal. The space group is P4/mmm.

---

Which of them is least stable? Easy: entry i.

---

Entry i
Crystalline KHfH3 at its relaxed geometry, computed with PBE.

Lattice parameters (Å, degrees): 4.108 4.108 4.108 90.00 90.00 90.00
Fractional positions:
1 H 0.000 0.000 0.500
2 H 0.000 0.500 0.000
3 H 0.500 0.000 0.000
4 K 0.000 0.000 0.000
5 Hf 0.500 0.500 0.500

Its crystal system is cubic. The space group is Pm-3m.

---

Entry ii
Crystalline KHfH3 at its relaxed geometry, computed with PBE.

Lattice parameters (Å, degrees): 4.067 4.067 4.067 90.00 90.00 90.00
Fractional positions:
1 H 0.000 0.500 0.000
2 H 0.500 0.000 0.000
3 H 0.000 0.000 0.500
4 K 0.500 0.500 0.500
5 Hf 0.000 0.000 0.000

Its crystal system is cubic. The space group is Pm-3m.

---

Which of them is least stable? Easy: entry i.

---

Entry i
Crystalline La3HfH at its relaxed geometry, computed with PBE.

Lattice parameters (Å, degrees): 5.087 5.087 5.087 90.00 90.00 90.00
Fractional positions:
1 La 0.000 0.500 0.000
2 La 0.500 0.000 0.000
3 La 0.000 0.000 0.500
4 Hf 0.500 0.500 0.500
5 H 0.000 0.000 0.000

Its crystal system is cubic. The space group is Pm-3m.

---

Entry ii
Crystalline La3HfH at its relaxed geometry, computed with PBE.

Lattice parameters (Å, degrees): 5.794 5.794 5.794 90.00 90.00 90.00
Fractional positions:
1 H 0.500 0.500 0.500
2 La 0.000 0.000 0.500
3 La 0.000 0.500 0.000
4 La 0.500 0.000 0.000
5 Hf 0.000 0.000 0.000

Its crystal system is cubic. The space group is Pm-3m.

---

Which of them is least stable? Easy: entry ii.

---

Entry i
Crystalline LaHf2H at its relaxed geometry, computed with PBE.

Lattice parameters (Å, degrees): 6.166 6.166 6.370 61.05 61.05 90.00
Fractional positions:
1 La 0.000 0.000 0.000
2 La 0.750 0.250 0.500
3 Hf 0.406 0.125 0.250
4 Hf 0.375 0.594 0.750
5 Hf 0.344 0.625 0.250
6 Hf 0.875 0.656 0.750
7 H 0.250 0.750 0.500
8 H 0.500 0.500 0.000

Its crystal system is tetragonal. The space group is I-42d.

---

Entry ii
Crystalline LaHf2H at its relaxed geometry, computed with PBE.

Lattice parameters (Å, degrees): 4.878 4.878 4.878 60.00 60.00 60.00
Fractional positions:
1 Hf 0.250 0.250 0.250
2 Hf 0.750 0.750 0.750
3 H 0.000 0.000 0.000
4 La 0.500 0.500 0.500

Its crystal system is cubic. The space group is Fm-3m.

---

Entry iii
Crystalline LaHf2H at its relaxed geometry, computed with PBE.

Lattice parameters (Å, degrees): 3.230 3.230 8.943 79.60 79.60 60.00
Fractional positions:
1 Hf 0.119 0.119 0.642
2 Hf 0.881 0.881 0.358
3 H 0.500 0.500 0.500
4 La 0.000 0.000 0.000

Its crystal system is trigonal. The space group is R-3m.

---

Which of them is least stable? Easy: entry ii.